(1)
Compound: ZrCdTeN2
Source: Alexandria
Functional: PBE-GGA
Structure: optimized geometry

E above lowest polymorph: 0 meV/atom

POSCAR file:
```
ZrCdTeN2
1.0
4.198 0.000 0.000
0.000 4.198 0.000
0.000 0.000 6.184
Zr N Cd Te
1 2 1 1
Cartesian
0.000 0.000 0.000
0.000 2.099 0.000
2.099 0.000 0.000
2.099 2.099 3.092
0.000 0.000 3.092
```

---

(2)
Compound: Th2CdN
Source: Alexandria
Functional: PBE-GGA
Structure: optimized geometry

POSCAR file:
```
Th2CdN
1.0
3.704 0.000 0.000
1.852 3.208 0.000
1.852 1.069 8.148
N Cd Th
1 1 2
Cartesian
3.704 2.139 4.074
0.000 0.000 0.000
1.852 1.069 2.673
5.557 3.208 5.475
```

---

(3)
Compound: Th4Cd2N
Source: Alexandria
Functional: PBE-GGA
Structure: optimized geometry

POSCAR file:
```
Th4Cd2N
1.0
4.953 0.000 0.000
0.000 4.953 0.000
2.476 2.476 7.992
Th Cd N
4 2 1
Cartesian
4.953 4.953 2.544
2.476 2.476 5.447
0.000 2.476 0.000
2.476 0.000 0.000
4.953 4.953 5.756
2.476 2.476 2.235
0.000 0.000 0.000
```

---

(4)
Compound: TiCdN3
Source: Alexandria
Functional: PBE-GGA
Structure: optimized geometry

POSCAR file:
```
TiCdN3
1.0
-3.864 0.534 -0.697
0.290 -2.192 -3.288
-0.829 -3.258 2.098
Cd N Ti
1 3 1
Cartesian
-2.201 -2.457 -0.943
-1.932 0.267 -0.348
0.145 -1.096 -1.644
-0.414 -1.629 1.049
0.000 0.000 0.000
```

---

(5)
Compound: Ti2CdN
Source: Alexandria
Functional: PBE-GGA
Structure: optimized geometry

POSCAR file:
```
Ti2CdN
1.0
3.075 0.000 0.000
1.537 2.663 0.000
1.537 0.888 7.135
Ti Cd N
2 1 1
Cartesian
1.537 0.888 6.045
1.537 0.888 1.092
3.075 1.775 3.579
4.612 2.663 7.120
```

---

(6)
Compound: TiCd2N
Source: Alexandria
Functional: PBE-GGA
Structure: optimized geometry

POSCAR file:
```
TiCd2N
1.0
8.872 0.000 0.000
0.000 8.872 0.000
4.436 4.436 1.958
Ti Cd N
2 4 2
Cartesian
8.872 4.436 0.979
0.000 0.000 0.000
3.247 6.654 0.489
5.626 2.218 0.489
11.090 10.062 1.468
6.654 7.683 1.468
4.436 4.436 0.000
4.436 8.872 0.979
```

---

(7)
Compound: Ti2CdN
Source: Alexandria
Functional: PBE-GGA
Structure: optimized geometry

POSCAR file:
```
Ti2CdN
1.0
3.080 0.000 0.000
1.540 2.667 0.000
1.540 0.889 7.082
Ti N Cd
2 1 1
Cartesian
1.540 0.889 1.088
4.620 2.667 5.994
0.000 0.000 0.000
3.080 1.778 3.541
```

---

(8)
Compound: Ti4Cd2N
Source: Alexandria
Functional: PBE-GGA
Structure: optimized geometry

POSCAR file:
```
Ti4Cd2N
1.0
4.144 0.000 0.000
0.000 4.144 0.000
2.072 2.072 7.051
N Ti Cd
1 4 2
Cartesian
0.000 0.000 0.000
2.072 2.072 4.966
0.000 2.072 0.000
2.072 0.000 0.000
4.144 4.144 2.085
2.072 2.072 2.071
4.144 4.144 4.980
```

---

(9)
Compound: Ti6CdN
Source: Alexandria
Functional: PBE-GGA
Structure: optimized geometry

POSCAR file:
```
Ti6CdN
1.0
-0.523 0.387 -4.815
3.048 -3.600 -2.676
-3.488 -4.123 0.100
Ti N Cd
6 1 1
Cartesian
-1.827 -4.532 -1.089
-1.022 -6.397 -3.977
-1.008 -1.503 -0.996
0.864 -2.804 -6.301
0.045 -5.833 -6.394
0.059 -0.939 -3.414
0.000 0.000 0.000
-0.481 -3.668 -3.695
```

---

(10)
Compound: Ti2CdN
Source: Alexandria
Functional: PBE-GGA
Structure: optimized geometry

POSCAR file:
```
Ti2CdN
1.0
3.556 -2.543 0.304
-0.019 -4.013 -1.760
2.405 -0.840 -3.566
Ti Cd N
2 1 1
Cartesian
4.456 -5.547 -3.766
1.485 -1.849 -1.255
2.971 -3.698 -2.511
0.000 0.000 0.000
```

---

(11)
Compound: TiCdN
Source: Alexandria
Functional: PBE-GGA
Structure: optimized geometry

POSCAR file:
```
TiCdN
1.0
3.335 -0.089 0.239
1.589 2.933 0.239
1.830 1.057 10.391
N Cd Ti
2 2 2
Cartesian
2.290 1.323 5.809
3.819 2.206 8.135
2.795 1.615 3.097
1.462 0.845 0.459
3.973 2.295 6.014
2.136 1.234 7.930
```

---

(12)
Compound: TiCdN3
Source: Alexandria
Functional: PBE-GGA
Structure: optimized geometry

POSCAR file:
```
TiCdN3
1.0
4.002 0.000 0.000
0.000 4.002 0.000
0.000 0.000 4.002
N Cd Ti
3 1 1
Cartesian
0.000 2.001 0.000
2.001 0.000 0.000
0.000 0.000 2.001
0.000 0.000 0.000
2.001 2.001 2.001
```

---

(13)
Compound: TiCd4N4
Source: Alexandria
Functional: PBE-GGA
Structure: optimized geometry

POSCAR file:
```
TiCd4N4
1.0
5.886 -0.004 0.013
2.020 5.472 -0.006
0.779 3.034 8.386
Cd N Ti
8 8 2
Cartesian
2.951 4.162 0.032
5.697 4.061 1.581
2.987 4.442 6.812
4.847 1.608 3.442
5.817 4.325 4.878
5.734 4.340 8.361
3.838 6.894 4.951
2.867 4.177 3.515
1.280 0.939 0.367
3.818 2.524 1.585
1.072 2.754 3.147
7.405 7.563 8.026
7.613 5.748 5.246
4.679 5.507 3.091
4.006 2.996 5.302
4.867 5.978 6.808
6.515 6.958 6.434
2.169 1.544 1.959
```

---

(14)
Compound: Ti2CdN
Source: Alexandria
Functional: PBE-GGA
Structure: optimized geometry

POSCAR file:
```
Ti2CdN
1.0
-6.182 0.378 0.240
0.014 -3.145 5.341
-2.834 1.593 4.542
N Ti Cd
2 4 2
Cartesian
-3.084 -1.383 2.790
-2.952 -1.468 6.337
-2.188 -1.476 4.531
-4.436 -0.207 6.118
-3.854 0.198 1.925
-7.524 -0.862 7.671
-6.050 0.294 3.786
0.000 0.000 0.000
```

---

(15)
Compound: Ti8CdN2
Source: Alexandria
Functional: PBE-GGA
Structure: optimized geometry

POSCAR file:
```
Ti8CdN2
1.0
-3.096 1.730 -2.945
-5.779 2.734 4.073
-2.513 6.546 2.879
Ti Cd N
8 1 2
Cartesian
-7.856 7.261 1.699
-5.368 7.283 2.705
-4.302 5.733 0.673
-7.102 7.551 4.684
-4.286 3.459 -0.678
-6.020 3.727 1.301
-7.086 5.277 3.334
-3.532 3.749 2.307
0.000 0.000 0.000
-8.636 8.396 3.186
-2.752 2.614 0.821
```

---

(16)
Compound: TiTlCd2N
Source: Alexandria
Functional: PBE-GGA
Structure: optimized geometry

POSCAR file:
```
TiTlCd2N
1.0
5.053 0.000 0.000
0.000 3.909 0.000
0.000 0.000 5.053
Cd Ti Tl N
2 1 1 1
Cartesian
2.526 0.000 0.000
0.000 0.000 2.526
0.000 1.954 0.000
2.526 1.954 2.526
0.000 0.000 0.000
```

---

(17)
Compound: TiTl2CdN
Source: Alexandria
Functional: PBE-GGA
Structure: optimized geometry

POSCAR file:
```
TiTl2CdN
1.0
5.753 0.000 0.000
0.000 3.820 0.000
0.000 0.000 5.753
Tl Cd Ti N
2 1 1 1
Cartesian
2.876 0.000 0.000
0.000 0.000 2.876
2.876 1.910 2.876
0.000 0.000 0.000
0.000 1.910 0.000
```

---

(18)
Compound: Ti2VCdN
Source: Alexandria
Functional: PBE-GGA
Structure: optimized geometry

POSCAR file:
```
Ti2VCdN
1.0
-1.453 -3.978 0.348
3.846 -1.493 -1.017
0.990 -0.030 3.790
Ti V Cd N
2 1 1 1
Cartesian
1.923 -0.747 -0.509
-0.726 -1.989 0.174
0.495 -0.015 1.895
1.692 -2.751 1.560
0.000 0.000 0.000
```

---

(19)
Compound: Y2TiCdN
Source: Alexandria
Functional: PBE-GGA
Structure: optimized geometry

POSCAR file:
```
Y2TiCdN
1.0
-2.874 -1.577 3.751
3.903 0.232 3.088
-0.944 3.867 0.903
Cd Y Ti N
1 2 1 1
Cartesian
0.042 1.261 3.871
1.951 0.116 1.544
-1.437 -0.788 1.876
-0.472 1.934 0.451
0.000 0.000 0.000
```

---

(20)
Compound: TiZn2CdN
Source: Alexandria
Functional: PBE-GGA
Structure: optimized geometry

POSCAR file:
```
TiZn2CdN
1.0
4.335 0.000 0.000
0.000 4.011 0.000
0.000 0.000 4.335
Cd Ti Zn N
1 1 2 1
Cartesian
2.168 2.006 2.168
0.000 2.006 0.000
2.168 0.000 0.000
0.000 0.000 2.168
0.000 0.000 0.000
```

---

(21)
Compound: TlCd3N
Source: Alexandria
Functional: PBE-GGA
Structure: optimized geometry

E above lowest polymorph: 0 meV/atom

POSCAR file:
```
TlCd3N
1.0
-3.670 -1.716 -2.471
-1.873 -1.747 3.995
-2.354 4.065 0.673
Cd N Tl
3 1 1
Cartesian
-1.835 -0.858 -1.235
-0.937 -0.873 1.997
-1.177 2.032 0.337
0.000 0.000 0.000
-3.948 0.301 1.099
```

---

(22)
Compound: TlCd2N2
Source: Alexandria
Functional: PBE-GGA
Structure: optimized geometry

POSCAR file:
```
TlCd2N2
1.0
-1.259 2.713 1.406
-1.734 -1.954 -2.021
-8.536 -7.489 11.316
Cd N Tl
2 2 1
Cartesian
-2.400 -1.268 2.047
-9.130 -5.462 8.654
-5.609 -3.059 4.913
-5.920 -3.671 5.789
0.000 0.000 0.000
```

---

(23)
Compound: TlCdN2
Source: Alexandria
Functional: PBE-GGA
Structure: optimized geometry

E above lowest polymorph: 603 meV/atom

POSCAR file:
```
TlCdN2
1.0
-2.912 -2.493 1.995
-0.340 0.098 4.307
-3.469 1.790 1.853
N Cd Tl
2 1 1
Cartesian
-5.041 -0.454 6.117
-1.680 -0.151 2.039
0.000 0.000 0.000
-3.361 -0.302 4.078
```

---

(24)
Compound: Tl2CdN
Source: Alexandria
Functional: PBE-GGA
Structure: optimized geometry

E above lowest polymorph: 398 meV/atom

POSCAR file:
```
Tl2CdN
1.0
-2.692 -3.623 -2.211
-4.538 -1.209 1.792
-4.129 1.176 -2.613
N Tl Cd
1 2 1
Cartesian
0.000 0.000 0.000
-2.839 -0.914 -0.758
-8.518 -2.742 -2.275
-5.679 -1.828 -1.516
```

---

(25)
Compound: TlCdN2
Source: Alexandria
Functional: PBE-GGA
Structure: optimized geometry

E above lowest polymorph: 164 meV/atom

POSCAR file:
```
TlCdN2
1.0
5.979 2.921 1.189
6.749 -0.374 0.107
5.991 2.148 -2.278
N Cd Tl
2 1 1
Cartesian
16.716 4.193 -0.877
2.003 0.503 -0.105
0.000 0.000 0.000
9.359 2.348 -0.491
```

---

(26)
Compound: TlCdN2
Source: Alexandria
Functional: PBE-GGA
Structure: optimized geometry

E above lowest polymorph: 209 meV/atom

POSCAR file:
```
TlCdN2
1.0
3.727 0.678 5.391
5.562 -1.561 3.169
5.684 2.046 2.631
N Tl Cd
2 1 1
Cartesian
13.345 1.038 9.974
1.628 0.127 1.217
0.000 0.000 0.000
7.487 0.582 5.595
```

---

(27)
Compound: TlCdN
Source: Alexandria
Functional: PBE-GGA
Structure: optimized geometry

POSCAR file:
```
TlCdN
1.0
3.970 -0.249 -1.728
-0.014 3.681 -0.562
-8.638 -1.797 13.098
Tl N Cd
2 2 2
Cartesian
0.169 -0.455 3.182
-4.851 2.090 7.626
-0.531 1.145 1.339
-4.152 0.491 9.469
-5.892 0.700 10.883
1.210 0.935 -0.075
```

---

Uncorrected formation energy in eV per atom, matching the order above: 0.270, -0.701, -0.340, 0.559, -0.974, 0.124, -0.994, -0.369, -0.414, 0.702, -0.794, 1.942, 0.063, -0.455, -0.342, 0.061, 0.212, -0.670, -0.809, -0.090, 0.471, 0.130, 1.603, 1.018, 1.164, 1.209, 0.553
Total magnetization in μB/f.u., matching the order above: 0.34, 0.00, 0.00, 2.09, 0.00, 0.72, 0.00, 0.01, 0.00, 0.00, 0.00, 0.00, 0.00, 0.00, 0.00, 0.48, 0.00, 0.00, 1.48, 0.00, 0.00, 0.00, 1.30, 0.00, 0.00, 0.22, 0.00